# 1
Here is crystalline ZnTeBr2 at its relaxed geometry from the Alexandria database. Energies are from PBE.

## Properties
energy relative to the elements, uncorrected = -0.7 eV per formula unit
SG = Immm (71)
uncorrected energy = -2.11 eV per atom

abc: 7.400 7.400 7.400
angles: 153.81 123.87 62.96
Positions (direct):
Br  0.106  0.106  0.000
Br  0.394  0.394  0.000
Te  0.750  0.250  0.500
Zn  0.250  0.750  0.500

---

# 2
Here is crystalline ZnTeBr at its relaxed geometry from the Alexandria database. Energies are from PBE.

## Properties
energy relative to the elements, uncorrected = 0.6 eV per formula unit
SG = F-43m (216)
uncorrected energy = -1.83 eV per atom

abc: 5.016 5.016 5.016
angles: 60.00 60.00 60.00
Positions (direct):
Br  0.500  0.500  0.500
Te  0.250  0.250  0.250
Zn  0.000  0.000  0.000

---

# 3
Here is crystalline ZnTeBr2 at its relaxed geometry from the Alexandria database. Energies are from PBE.

## Properties
energy relative to the elements, uncorrected = -0.8 eV per formula unit
SG = Cmm2 (35)
uncorrected energy = -2.15 eV per atom

abc: 4.817 4.817 9.359
angles: 90.00 90.00 133.81
Positions (direct):
Br  0.000  0.000  0.917
Br  0.500  0.500  0.308
Te  0.000  0.000  0.532
Zn  0.500  0.500  0.742

---

# 4
Here is crystalline ZnTe2Br at its relaxed geometry from the Alexandria database. Energies are from PBE.

## Properties
relative energy among the computed polymorphs = 163.3 meV per atom
energy relative to the elements, uncorrected = -0.3 eV per formula unit
SG = R-3m (166)
uncorrected energy = -2.38 eV per atom

abc: 8.867 8.867 8.867
angles: 27.11 27.11 27.11
Positions (direct):
Zn  0.500  0.500  0.500
Te  0.891  0.891  0.891
Te  0.109  0.109  0.109
Br  0.000  0.000  0.000

---

# 5
Here is crystalline ZnTeBr2 at its relaxed geometry from the Alexandria database. Energies are from PBE.

## Properties
energy relative to the elements, uncorrected = -1.0 eV per formula unit
SG = P4mm (99)
uncorrected energy = -2.20 eV per atom

abc: 4.023 4.023 8.400
angles: 90.00 90.00 90.00
Positions (direct):
Br  0.000  0.000  0.959
Br  0.500  0.500  0.303
Te  0.000  0.000  0.660
Zn  0.500  0.500  0.578

---

# 6
Here is crystalline Zn3TeBr at its relaxed geometry from the Alexandria database. Energies are from PBE.

## Properties
relative energy among the computed polymorphs = 299.0 meV per atom
energy relative to the elements, uncorrected = 2.3 eV per formula unit
SG = Pm-3m (221)
uncorrected energy = -1.27 eV per atom

abc: 5.167 5.167 5.167
angles: 90.00 90.00 90.00
Positions (direct):
Zn  0.000  0.500  0.000
Zn  0.000  0.000  0.500
Zn  0.500  0.000  0.000
Te  0.500  0.500  0.500
Br  0.000  0.000  0.000

---

# 7
Here is crystalline ZnTeBr2 at its relaxed geometry from the Alexandria database. Energies are from PBE.

## Properties
energy relative to the elements, uncorrected = 0.2 eV per formula unit
SG = Pmmm (47)
uncorrected energy = -1.89 eV per atom

abc: 3.709 6.662 4.495
angles: 90.00 90.00 90.00
Positions (direct):
Br  0.000  0.000  0.000
Br  0.500  0.500  0.000
Te  0.500  0.000  0.500
Zn  0.000  0.500  0.500

---

# 8
Here is crystalline Zn2Te2Br at its relaxed geometry from the Alexandria database. Energies are from PBE.

## Properties
relative energy among the computed polymorphs = 0.0 meV per atom
energy relative to the elements, uncorrected = 0.0 eV per formula unit
SG = I4/mmm (139)
uncorrected energy = -2.09 eV per atom

abc: 4.510 4.510 7.208
angles: 71.77 71.77 90.00
Positions (direct):
Zn  0.406  0.406  0.188
Zn  0.594  0.594  0.812
Te  0.750  0.250  0.500
Te  0.250  0.750  0.500
Br  0.000  0.000  0.000

---

# 9
Here is crystalline ZnTeBr at its relaxed geometry from the Alexandria database. Energies are from PBE.

## Properties
energy relative to the elements, uncorrected = -1.5 eV per formula unit
SG = Cc (9)
uncorrected energy = -2.52 eV per atom

abc: 5.189 11.489 11.484
angles: 76.90 76.94 76.95
Positions (direct):
Zn  0.000  0.727  0.259
Zn  0.353  0.165  0.019
Zn  0.463  0.665  0.519
Zn  0.096  0.375  0.463
Zn  0.065  0.875  0.963
Zn  0.014  0.227  0.759
Br  0.741  0.923  0.150
Br  0.344  0.695  0.077
Br  0.106  0.813  0.420
Br  0.187  0.423  0.650
Br  0.883  0.195  0.577
Br  0.661  0.313  0.920
Te  0.744  0.546  0.353
Te  0.129  0.178  0.243
Te  0.450  0.678  0.743
Te  0.452  0.327  0.265
Te  0.956  0.827  0.765
Te  0.356  0.046  0.853

---

# 10
Here is crystalline ZnTe2Br at its relaxed geometry from the Alexandria database. Energies are from PBE.

## Properties
relative energy among the computed polymorphs = 226.3 meV per atom
energy relative to the elements, uncorrected = 0.0 eV per formula unit
SG = R-3m (166)
uncorrected energy = -2.31 eV per atom

abc: 7.656 7.656 7.656
angles: 31.82 31.82 31.82
Positions (direct):
Br  0.750  0.750  0.750
Te  0.980  0.980  0.980
Te  0.520  0.520  0.520
Zn  0.250  0.250  0.250

---

# 11
Here is crystalline ZnTeBr2 at its relaxed geometry from the Alexandria database. Energies are from PBE.

## Properties
energy relative to the elements, uncorrected = 0.3 eV per formula unit
SG = I-4m2 (119)
uncorrected energy = -1.87 eV per atom

abc: 7.783 7.783 7.783
angles: 149.50 149.50 43.67
Positions (direct):
Br  0.000  0.000  0.000
Br  0.250  0.750  0.500
Te  0.500  0.500  0.000
Zn  0.750  0.250  0.500

---

# 12
Here is crystalline ZnTeBr at its relaxed geometry from the Alexandria database. Energies are from PBE.

## Properties
energy relative to the elements, uncorrected = 0.3 eV per formula unit
SG = F-43m (216)
uncorrected energy = -1.93 eV per atom

abc: 4.893 4.893 4.893
angles: 60.00 60.00 60.00
Positions (direct):
Br  0.000  0.000  0.000
Te  0.500  0.500  0.500
Zn  0.250  0.250  0.250

---

> Number 11 is which compound?

ZnTeBr2